No. 1
# TbCe2Sn3 PBE-GGA optimized geometry
data_TbCe2Sn3
_chemical_formula_sum 'Tb1 Ce2 Sn3'
_cell_length_a 4.506
_cell_length_b 6.312
_cell_length_c 7.675
_cell_angle_alpha 114.28
_cell_angle_beta 107.07
_cell_angle_gamma 90.00
_symmetry_space_group_name_H-M 'P 1'
_symmetry_Int_Tables_number 1
_symmetry_space_group_name_Hall 'P 1'
loop_
_atom_site_label
_atom_site_fract_x
_atom_site_fract_y
_atom_site_fract_z
Ce1 0.334 0.834 0.667
Ce2 0.666 0.166 0.333
Sn1 0.332 0.332 0.664
Sn2 0.000 0.000 0.000
Sn3 0.668 0.668 0.336
Tb1 0.000 0.500 0.000
# V = 188 Å³/f.u.
# Formation energy from the elements = -481 meV per atom
# Offset from the most stable computed form = 121 meV per atom

No. 2
# TbCeSnTe PBE-GGA optimized geometry
data_TbCeSnTe
_chemical_formula_sum 'Tb1 Ce1 Sn1 Te1'
_cell_length_a 4.457
_cell_length_b 4.457
_cell_length_c 7.728
_cell_angle_alpha 73.24
_cell_angle_beta 73.24
_cell_angle_gamma 60.00
_symmetry_space_group_name_H-M 'P 1'
_symmetry_Int_Tables_number 1
_symmetry_space_group_name_Hall 'P 1'
loop_
_atom_site_label
_atom_site_fract_x
_atom_site_fract_y
_atom_site_fract_z
Tb1 0.191 0.191 0.426
Sn1 0.446 0.446 0.663
Ce1 0.697 0.697 0.908
Te1 0.942 0.942 0.174
# V = 125 Å³/f.u.
# Energy relative to the elements, uncorrected = -98 kJ per mole of atoms

No. 3
# TbCeThSn PBE-GGA optimized geometry
data_TbCeThSn
_chemical_formula_sum 'Tb1 Ce1 Th1 Sn1'
_cell_length_a 5.453
_cell_length_b 5.453
_cell_length_c 5.453
_cell_angle_alpha 60.00
_cell_angle_beta 60.00
_cell_angle_gamma 60.00
_symmetry_space_group_name_H-M 'P 1'
_symmetry_Int_Tables_number 1
_symmetry_space_group_name_Hall 'P 1'
loop_
_atom_site_label
_atom_site_fract_x
_atom_site_fract_y
_atom_site_fract_z
Sn1 0.000 0.000 0.000
Th1 0.250 0.250 0.250
Ce1 0.500 0.500 0.500
Tb1 0.750 0.750 0.750
# V = 115 Å³/f.u.
# Formation energy from the elements = -132 meV per atom